# Cs12In3H5 (PBE, relaxed)
data_Cs12In3H5
_chemical_formula_sum 'Cs96 In24 H40'
_cell_length_a 20.4502
_cell_length_b 20.4502
_cell_length_c 20.4502
_cell_angle_alpha 90.00
_cell_angle_beta 90.00
_cell_angle_gamma 90.00
_symmetry_space_group_name_H-M 'I a -3 d'
_symmetry_Int_Tables_number 230
_symmetry_space_group_name_Hall '-I 4bd 2c 3'
loop_
_atom_site_label
_atom_site_fract_x
_atom_site_fract_y
_atom_site_fract_z
Cs1 0.0326 0.0503 0.6489
In1 0.0000 0.2500 0.1250
H1 0.0000 0.0000 0.0000
H2 0.0000 0.2500 0.3750
# calculated density: 3020 kg/m3
# magnetic moment: 0.30 μB per atom
# uncorrected energy: -1.748 eV per atom

=====

# Cs3In5H12 (PBE, relaxed)
data_Cs3In5H12
_chemical_formula_sum 'Cs24 In40 H96'
_cell_length_a 14.9688
_cell_length_b 14.9688
_cell_length_c 14.9688
_cell_angle_alpha 90.00
_cell_angle_beta 90.00
_cell_angle_gamma 90.00
_symmetry_space_group_name_H-M 'I a -3 d'
_symmetry_Int_Tables_number 230
_symmetry_space_group_name_Hall '-I 4bd 2c 3'
loop_
_atom_site_label
_atom_site_fract_x
_atom_site_fract_y
_atom_site_fract_z
Cs1 0.0000 0.2500 0.1250
In1 0.0000 0.0000 0.0000
In2 0.0000 0.2500 0.3750
H1 0.0365 0.1581 0.9472
# calculated density: 3901 kg/m3
# magnetic moment: 0.00 μB per atom
# uncorrected energy: -2.734 eV per atom